Sc4GaPbC: relaxed, PBE.

ρ   5.326 g cm⁻³
D(E_F)   0.708 states/eV per atom
ΔH_f (0 K)   -0.54 eV/atom
Space group   Cmcm

Cell and atoms, written as extended XYZ:
```
14
Lattice="6.2989 0.0000 0.0000 0.0000 6.3062 0.0000 -3.1495 0.0000 7.3588" Properties=species:S:1:pos:R:3 pbc="T T T"
Sc 0.0000 4.7297 5.9473
Sc 1.5747 3.1531 3.6794
Sc 3.1495 1.5766 1.4115
Sc 3.1495 1.5766 6.0739
Sc 0.0000 4.7297 1.2849
Sc -1.5747 0.0000 3.6794
Sc 1.5747 0.0000 3.6794
Sc -1.5747 3.1531 3.6794
C 3.1495 1.5766 3.7180
C 0.0000 4.7297 3.6408
Ga 3.1495 4.7297 5.6596
Ga 0.0000 1.5766 1.6991
Pb 0.0000 1.5766 5.8106
Pb 3.1495 4.7297 1.5482
```

***

Re2PCl13: relaxed, PBE.

ρ   2.861 g cm⁻³
E_form (uncorrected)   -0.6337 eV per atom
Space group   P2_1/m

Cell and atoms, written as extended XYZ:
```
32
Lattice="-9.8620 -2.1025 -5.0129 3.8023 -7.3135 -4.4129 -1.8336 -6.9054 6.5035" Properties=species:S:1:pos:R:3 pbc="T T T"
Cl -1.3153 -8.5190 -3.8736
Cl 0.6485 -12.7413 1.6643
Cl -6.8210 -11.6509 -4.2536
Cl -8.5418 -3.5802 -4.5866
Cl -4.5104 -5.9752 -3.8489
Cl -6.3867 -8.9197 -2.6666
Cl -7.4297 -6.5975 -5.3328
Cl -2.2795 -1.6014 -1.1679
Cl -7.4042 -10.9380 0.1817
Cl -3.8691 -5.2668 -0.0903
Cl -9.4708 -8.4191 -0.5192
Cl -5.6138 -14.7200 -1.7544
Cl -3.3830 -10.3463 0.9265
Cl -2.4083 -13.3929 0.1105
Cl -0.4637 -9.7239 2.4104
Cl -4.8712 -9.3999 -5.4467
Cl -4.0242 -11.0546 -2.8320
Cl -6.5780 -7.8024 0.9513
Cl -5.4851 -2.9285 -3.0328
Cl -7.3524 -5.5526 -2.1789
Cl -3.0222 -6.9215 2.5244
Cl -0.4891 -5.3834 -3.1040
Cl -1.5066 -7.4017 -0.2557
Cl 1.5775 -7.9023 -2.4031
Cl -1.0723 -4.6705 1.3313
Cl -0.5409 -10.7688 -0.7434
Re -1.4166 -11.5067 1.2889
Re -6.4767 -4.8147 -4.2112
Re 0.5349 -7.2083 -4.3531
Re -8.4282 -9.1132 1.4308
P -5.5213 -10.2483 -3.8118
P -2.3720 -6.0731 0.8895
```

***

ρ of number 1 (Sc4GaPbC)?
5.326 g cm⁻³

***

The highest ρ belongs to which entry?
Sc4GaPbC

***

ρ of number 1 (Sc4GaPbC)?
5.326 g cm⁻³